A plane-wave DFT calculation with PBEsol was carried out for a geometry-optimized YTe structure.

N(E_F)	1.0	states/eV/f.u.
volume	30.36	Å³ per atom
ΔE_f (raw)	-1.29	eV per atom
ρ	5.92	g cm⁻³

```
YTe
1.0
4.135 0.000 0.000
0.000 14.169 0.000
0.000 0.000 4.145
Y Te
4 4
Direct
0.000 0.169 0.250
0.000 0.831 0.750
0.500 0.331 0.750
0.500 0.669 0.250
0.000 0.385 0.250
0.000 0.615 0.750
0.500 0.115 0.750
0.500 0.885 0.250
```